GGA-PBE AcDyAu, optimized geometry; space-group type = I4mm (107); calculated formation energy = -0.50 eV per atom; distance to the lowest polymorph of the same formula = 0.0851 eV/atom; size of the total moment = 0.00 μB per formula unit; mass density = 10.50 g cm⁻³
1.0
-1.881 1.881 6.558
1.881 -1.881 6.558
1.881 1.881 -6.558
Ac Dy Au
1 1 1
Direct
0.000 0.000 0.000
0.281 0.281 0.000
0.674 0.674 0.000